First-principles (PBE) data for a relaxed CrIrAu2 crystal, as listed in Alexandria.

Geometry as POSCAR:
```
CrIrAu2
1.0
4.7225 -1.4476 0.0000
4.7225 1.4476 0.0000
-0.8901 0.0000 4.7430
Cr Ir Au
1 1 2
Direct
0.0000 0.0000 0.0000 Cr
0.5000 0.5000 0.5000 Ir
0.2506 0.2506 0.7508 Au
0.7494 0.7494 0.2492 Au
```

## Properties
* total energy: -23.953 eV for the cell shown
* offset from the most stable computed form: 0.197 eV/atom
* density of states at the Fermi level: 1.05 states/eV per atom
* energy of formation from the pure elements: 0.271 eV/atom
* SG: C2/m, No. 12